The following is a PBE calculation of crystalline NaSi2SnB at its relaxed geometry, from Alexandria.

Uncorrected formation energy in kJ/mol of atoms: 166.2
DFT total energy in eV per cell: -14.230
Total magnetic moment in μB per cell: 0.00

Cell lengths 5.005, 5.005, 4.508 Å; angles 90.00, 90.00, 90.00 degrees
Fractional coordinates of all 5 atoms:
1 Na 0.000 0.000 0.000
2 Si 0.000 0.500 0.000
3 Si 0.500 0.000 0.000
4 Sn 0.500 0.500 0.500
5 B 0.000 0.000 0.500